VASP calculation (meta-GGA SCAN) on a PBEsol-optimized structure of Li2ReOs.

Unit cell a=2.5225 b=4.9589 c=5.0965 alpha=119.11 beta=90.00 gamma=90.00
Atoms (fractional coordinates):
Li (0.0000, 0.5000, 0.5000)
Li (0.0000, 0.0000, 0.5000)
Os (0.5000, 0.0000, 0.0000)
Re (0.5000, 0.5000, 0.0000)

Summary:
- VASP energy (eV/cell) = -146.5
- ΔE to the lowest computed polymorph (eV per atom) = 0.185
- spin magnetization (μB per atom) = 0.000
- formation enthalpy at 0 K (meV/atom) = 311